Entry 1:
VASP calculation (GGA-PBE) on a relaxed structure of Tb4Nd3Au4.

POSCAR file:
```
Tb4Nd3Au4
1.0
-1.9228 4.4488 0.6899
-4.1666 -2.7293 5.9872
8.9981 0.9433 1.6265
Nd Tb Au
3 4 4
direct
0.1026 0.1026 0.2052
0.8974 0.8974 0.7948
0.0000 0.5000 0.0000
0.6726 0.8874 0.3452
0.3274 0.1126 0.6548
0.3274 0.5422 0.6548
0.6726 0.4578 0.3452
0.5000 0.8106 0.0000
0.5000 0.1894 0.0000
0.7941 0.2941 0.5882
0.2059 0.7059 0.4118
```

Properties
**Raw total energy**: -4.742 eV per atom
**Magnetic moment**: 0.0 μB per cell
**DFT formation energy**: -566 meV/atom

=====

Entry 2:
VASP calculation (GGA-PBE) on a relaxed structure of Tb3NdAu.

POSCAR file:
```
Tb3NdAu
1.0
-2.7020 -3.4039 3.1181
0.7896 -4.7934 -4.5461
7.2576 -3.3671 2.6146
Tb Au Nd
6 2 2
direct
0.3754 0.4547 0.1737
0.8757 0.5361 0.4448
0.3754 0.9762 0.0115
0.8758 0.8981 0.7278
0.3757 0.8167 0.4568
0.8757 0.3766 0.8900
0.3764 0.6398 0.8015
0.8749 0.7131 0.1000
0.3758 0.2699 0.6228
0.8754 0.0829 0.2788
```

Properties
**Raw total energy**: -4.676 eV per atom
**Magnetic moment**: 0.0 μB per cell
**DFT formation energy**: -289 meV/atom

=====

Entry 3:
VASP calculation (GGA-PBE) on a relaxed structure of Tb2NdAu6.

POSCAR file:
```
Tb2NdAu6
1.0
-0.4715 0.0063 3.6448
-2.9829 -7.8292 1.4805
4.5699 -6.7433 2.4558
Au Tb Nd
6 2 1
direct
0.3227 0.9895 0.3651
0.3227 0.3651 0.9895
0.6773 0.6349 0.0105
0.5000 0.6821 0.3179
0.5000 0.3179 0.6821
0.6773 0.0105 0.6349
0.1411 0.3589 0.3589
0.8589 0.6411 0.6411
0.0000 0.0000 0.0000
```

Properties
**Raw total energy**: -4.484 eV per atom
**Magnetic moment**: 0.0 μB per cell
**DFT formation energy**: -740 meV/atom

=====

Entry 4:
VASP calculation (GGA-PBE) on a relaxed structure of Tb2Nd2Au3.

POSCAR file:
```
Tb2Nd2Au3
1.0
-4.8769 -1.9948 -5.8584
6.2215 -4.8350 -0.0004
-3.7855 -0.5913 6.8851
Au Tb Nd
6 4 4
direct
0.8869 0.2500 0.6369
0.7500 0.6369 0.3869
0.1369 0.3869 0.2500
0.2500 0.8631 0.1131
0.3631 0.1131 0.7500
0.6131 0.7500 0.8631
0.1366 0.6366 0.6366
0.3634 0.5000 0.0000
0.0000 0.0000 0.8634
0.5000 0.8634 0.5000
0.6442 0.1442 0.1442
0.8558 0.5000 0.0000
0.5000 0.3558 0.5000
0.0000 0.0000 0.3558
```

Properties
**Raw total energy**: -4.721 eV per atom
**Magnetic moment**: 0.0 μB per cell
**DFT formation energy**: -631 meV/atom

=====

Entry 5:
VASP calculation (GGA-PBE) on a relaxed structure of TbNd3Au4.

POSCAR file:
```
TbNd3Au4
1.0
-1.8274 0.3844 -3.1730
-1.0577 -3.5218 0.1825
-12.1513 4.0374 7.4872
Au Nd Tb
4 3 1
direct
0.0000 0.0000 0.8852
0.0000 0.0000 0.6258
0.0000 0.0000 0.3742
0.0000 0.0000 0.1148
0.5000 0.5000 0.5000
0.5000 0.5000 0.2470
0.5000 0.5000 0.7530
0.5000 0.5000 0.0000
```

Properties
**Raw total energy**: -4.792 eV per atom
**Magnetic moment**: 0.0 μB per cell
**DFT formation energy**: -786 meV/atom

=====

Entry 6:
VASP calculation (GGA-PBE) on a relaxed structure of TbNd2Au.

POSCAR file:
```
TbNd2Au
1.0
-4.7139 -4.8460 -0.0077
1.0394 -0.9999 -6.9991
7.1244 -6.9335 2.0484
Nd Au Tb
8 4 4
direct
0.3158 0.1962 0.0546
0.8158 0.3038 0.5546
0.6842 0.8038 0.9454
0.1842 0.6962 0.0546
0.1842 0.6962 0.4454
0.8158 0.3038 0.9454
0.6842 0.8038 0.5546
0.3158 0.1962 0.4454
0.0457 0.4010 0.2500
0.4543 0.9010 0.2500
0.5457 0.0990 0.7500
0.9543 0.5990 0.7500
0.3700 0.4823 0.7500
0.8700 0.0177 0.2500
0.6300 0.5177 0.2500
0.1300 0.9823 0.7500
```

Properties
**Offset from the most stable computed form**: 4 meV/atom
**Raw total energy**: -4.759 eV per atom
**Magnetic moment**: 0.0 μB per cell
**DFT formation energy**: -398 meV/atom